[1]
A relaxed SmMgAg crystal. Source: OQMD via LeMat-Bulk, functional PBE. Values from VASP.

Structure (Quantum ESPRESSO input):
```
&SYSTEM
  ibrav = 0, nat = 3, ntyp = 3
/
ATOMIC_SPECIES
Ag 107.87 Ag.upf
Mg 24.30 Mg.upf
Sm 150.36 Sm.upf
CELL_PARAMETERS angstrom
2.953 -1.428 3.572
-0.101 2.272 4.284
-1.816 -2.248 3.895
ATOMIC_POSITIONS crystal
Ag 0.250 0.250 0.250
Mg 0.000 0.000 0.000
Sm 0.750 0.750 0.750
```

Computed properties:
calculated total energy: -2.795 eV per atom
spin magnetization: 0.03 μB per formula unit


[2]
A relaxed SmMgAg crystal. Source: OQMD via LeMat-Bulk, functional PBE. Values from VASP.

Structure (Quantum ESPRESSO input):
```
&SYSTEM
  ibrav = 0, nat = 18, ntyp = 3
/
ATOMIC_SPECIES
Ag 107.87 Ag.upf
Mg 24.30 Mg.upf
Sm 150.36 Sm.upf
CELL_PARAMETERS angstrom
-4.222 6.727 3.881
4.222 -6.727 3.881
4.222 6.727 -3.881
ATOMIC_POSITIONS crystal
Ag 0.914 0.747 0.167
Ag 0.247 0.497 0.250
Ag 0.580 0.247 0.333
Ag 0.914 0.247 0.667
Ag 0.246 0.997 0.750
Ag 0.580 0.747 0.833
Mg 0.004 0.004 0.000
Mg 0.490 0.368 0.121
Mg 0.247 0.868 0.378
Mg 0.004 0.504 0.500
Mg 0.490 0.869 0.622
Mg 0.247 0.369 0.879
Sm 0.832 0.289 0.043
Sm 0.661 0.911 0.250
Sm 0.247 0.289 0.457
Sm 0.832 0.789 0.543
Sm 0.661 0.411 0.750
Sm 0.246 0.789 0.957
```

Computed properties:
calculated total energy: -3.303 eV per atom
spin magnetization: 0.01 μB per formula unit


[3]
A relaxed SmMgAg crystal. Source: OQMD via LeMat-Bulk, functional PBE. Values from VASP.

Structure (Quantum ESPRESSO input):
```
&SYSTEM
  ibrav = 0, nat = 3, ntyp = 3
/
ATOMIC_SPECIES
Ag 107.87 Ag.upf
Mg 24.30 Mg.upf
Sm 150.36 Sm.upf
CELL_PARAMETERS angstrom
0.000 3.527 3.527
3.527 0.000 3.527
3.527 3.527 0.000
ATOMIC_POSITIONS crystal
Ag 0.250 0.250 0.250
Mg 0.750 0.750 0.750
Sm 0.000 0.000 0.000
```

Computed properties:
calculated total energy: -2.663 eV per atom
spin magnetization: 0.03 μB per formula unit